w:
First-principles (PBE) data for crystalline K3Ga2Bi4 at its relaxed geometry, as listed in Alexandria via LeMat-Bulk.

The structure in POSCAR format:
```
K3Ga2Bi4
1.0
-2.0292 -4.1629 -0.4106
-0.0392 -3.2430 6.7510
-9.8282 1.5306 6.7314
K Ga Bi
3 2 4
Cartesian
-7.1810 -2.5541 8.7400
0.0000 0.0000 0.0000
-4.7156 -3.3211 4.3318
-3.6019 -4.2542 8.2878
-8.2947 -1.6211 4.7840
-1.3886 -2.2026 2.8719
-10.5080 -3.6726 10.1999
-6.2325 -0.1444 5.9434
-5.6641 -5.7309 7.1285
```

Output
As for the space group: No. 12. The calculation puts the density at 5.13 g/cm³. Its crystal system is monoclinic.

***

x:
First-principles (PBE) data for crystalline K3Ga2Bi4 at its relaxed geometry, as listed in Alexandria via LeMat-Bulk.

The structure in POSCAR format:
```
K3Ga2Bi4
1.0
8.3130 0.6219 0.4452
1.3991 9.3037 -0.9186
1.3991 2.1281 9.1035
K Ga Bi
6 4 8
Cartesian
8.0560 1.2982 2.7155
7.2116 9.3756 8.4987
3.0551 10.7554 5.9145
3.8995 2.6781 0.1314
3.4773 6.5525 3.2524
7.6338 5.5011 5.3777
5.0934 2.9495 3.7689
10.1743 7.8463 7.2748
6.0178 9.1041 4.8612
0.9369 4.2073 1.3552
5.3623 9.7006 2.1531
1.5924 6.5788 -0.0820
5.7489 2.3530 6.4770
9.5188 5.4749 8.7121
2.2481 3.0045 3.6036
4.7065 7.3632 6.7244
8.8630 9.0492 5.0265
6.4046 4.6904 1.9057
```

Output
As for the space group: No. 15. The calculation puts the density at 5.13 g/cm³. Its crystal system is monoclinic.

***

Quick one: least stable of them? w

***

w:
First-principles (PBE) data for crystalline LaGaBi3 at its relaxed geometry, as listed in Alexandria via LeMat-Bulk.

The structure in POSCAR format:
```
LaGaBi3
1.0
6.1640 0.0000 0.0000
0.0000 6.1640 0.0000
0.0000 0.0000 6.1640
Bi Ga La
3 1 1
Cartesian
0.0000 3.0820 0.0000
0.0000 0.0000 3.0820
3.0820 0.0000 0.0000
3.0820 3.0820 3.0820
0.0000 0.0000 0.0000
```

Output
As for the space group: No. 221. The calculation puts the density at 5.92 g/cm³. Its crystal system is cubic.

***

x:
First-principles (PBE) data for crystalline LaGaBi3 at its relaxed geometry, as listed in Alexandria via LeMat-Bulk.

The structure in POSCAR format:
```
LaGaBi3
1.0
-1.3290 5.1262 -1.5068
-3.2775 0.4442 4.4018
4.2198 1.9594 2.9443
Bi Ga La
3 1 1
Cartesian
-1.6388 0.2221 2.2009
2.1099 0.9797 1.4722
-0.6645 2.5631 -0.7534
0.0000 0.0000 0.0000
-0.1934 3.7649 2.9196
```

Output
As for the space group: No. 221. The calculation puts the density at 8.31 g/cm³. Its crystal system is cubic.

***

Quick one: least stable of them? w